Record 1
{
  "formula": "K2CaAsCl6",
  "functional": "PBE",
  "state": "optimized geometry",
  "raw_formation_energy_mev_per_atom": -1523,
  "vol_a3_per_atom": 32.17,
  "lattice_angstrom": [[-3.677, 3.677, 5.946], [3.677, -3.677, 5.946], [3.677, 3.677, -5.946]],
  "species": ["K", "K", "Ca", "As", "Cl", "Cl", "Cl", "Cl", "Cl", "Cl"],
  "frac_coords": [[0.250, 0.750, 0.500], [0.750, 0.250, 0.500], [0.000, 0.000, 0.000], [0.500, 0.500, 0.000], [0.225, 0.225, 0.000], [0.261, 0.261, 0.522], [0.261, 0.739, 0.000], [0.739, 0.261, 0.000], [0.739, 0.739, 0.478], [0.775, 0.775, 0.000]]
}



Record 2
{
  "formula": "CaLa2AsCl",
  "functional": "PBE",
  "state": "optimized geometry",
  "relative_energy_ev_per_atom": 0.000,
  "raw_formation_energy_mev_per_atom": -656,
  "vol_a3_per_atom": 29.55,
  "lattice_angstrom": [[5.416, 0.000, 0.000], [0.000, 5.416, 0.000], [0.000, 0.000, 5.037]],
  "species": ["Ca", "La", "La", "As", "Cl"],
  "frac_coords": [[0.000, 0.000, 0.000], [0.000, 0.500, 0.500], [0.500, 0.000, 0.500], [0.500, 0.500, 0.000], [0.000, 0.000, 0.500]]
}



Record 3
{
  "formula": "CaMgAsCl",
  "functional": "PBE",
  "state": "optimized geometry",
  "raw_formation_energy_mev_per_atom": -1478,
  "vol_a3_per_atom": 26.18,
  "lattice_angstrom": [[2.164, 1.249, 12.909], [-2.164, 1.249, 12.909], [0.000, -2.499, 12.909]],
  "species": ["Ca", "Ca", "Mg", "Mg", "As", "As", "Cl", "Cl"],
  "frac_coords": [[0.094, 0.094, 0.094], [0.906, 0.906, 0.906], [0.309, 0.309, 0.309], [0.691, 0.691, 0.691], [0.380, 0.380, 0.380], [0.620, 0.620, 0.620], [0.207, 0.207, 0.207], [0.793, 0.793, 0.793]]
}



Record 4
{
  "formula": "Ca2AsClO4",
  "functional": "PBE",
  "state": "optimized geometry",
  "relative_energy_ev_per_atom": 0.000,
  "raw_formation_energy_mev_per_atom": -2329,
  "vol_a3_per_atom": 16.12,
  "lattice_angstrom": [[6.429, 0.000, 0.000], [0.000, 7.179, 0.000], [0.000, 0.000, 11.176]],
  "species": ["Ca", "Ca", "Ca", "Ca", "Ca", "Ca", "Ca", "Ca", "As", "As", "As", "As", "Cl", "Cl", "Cl", "Cl", "O", "O", "O", "O", "O", "O", "O", "O", "O", "O", "O", "O", "O", "O", "O", "O"],
  "frac_coords": [[0.126, 0.250, 0.000], [0.126, 0.250, 0.500], [0.359, 0.524, 0.250], [0.359, 0.976, 0.750], [0.641, 0.024, 0.250], [0.641, 0.476, 0.750], [0.874, 0.750, 0.000], [0.874, 0.750, 0.500], [0.369, 0.750, 0.000], [0.369, 0.750, 0.500], [0.631, 0.250, 0.000], [0.631, 0.250, 0.500], [0.004, 0.206, 0.750], [0.004, 0.294, 0.250], [0.996, 0.706, 0.750], [0.996, 0.794, 0.250], [0.206, 0.566, 0.029], [0.206, 0.566, 0.471], [0.206, 0.934, 0.529], [0.206, 0.934, 0.971], [0.471, 0.236, 0.624], [0.471, 0.236, 0.876], [0.471, 0.264, 0.124], [0.471, 0.264, 0.376], [0.529, 0.736, 0.624], [0.529, 0.736, 0.876], [0.529, 0.764, 0.124], [0.529, 0.764, 0.376], [0.794, 0.066, 0.029], [0.794, 0.066, 0.471], [0.794, 0.434, 0.529], [0.794, 0.434, 0.971]]
}